(1)
Re2AgRh | GGA-PBE | relaxed

Calculated values
- Distance to the lowest polymorph of the same formula: 0.920 eV per atom
- DOS(E_F): 8.10 states/eV per cell
- Formation energy from the elements: 1.09 eV/atom
- Space group: No. 122
- Volume: 17.0 A^3/atom
- Energy: -7.69 eV/atom

The structure in POSCAR format:
```
Re2AgRh
1.0
-3.6222 3.6222 2.5918
3.6222 -3.6222 2.5918
3.6222 3.6222 -2.5918
Re Ag Rh
4 2 2
Direct
0.0927 0.6250 0.9677
0.3750 0.3427 0.4677
0.6573 0.1250 0.0323
0.8750 0.9073 0.5323
0.2500 0.7500 0.5000
0.5000 0.5000 0.0000
0.0000 0.0000 0.0000
0.7500 0.2500 0.5000
```

(2)
ReAg2Rh | GGA-PBE | relaxed

Calculated values
- Distance to the lowest polymorph of the same formula: 0.000 eV per atom
- DOS(E_F): 2.91 states/eV per cell
- Formation energy from the elements: 0.21 eV/atom
- Space group: No. 99
- Volume: 16.1 A^3/atom
- Energy: -6.17 eV/atom

The structure in POSCAR format:
```
ReAg2Rh
1.0
2.7888 0.0000 0.0000
0.0000 2.7888 0.0000
0.0000 0.0000 8.2910
Re Ag Rh
1 2 1
Direct
0.0000 0.0000 0.0000
0.0000 0.0000 0.4698
0.5000 0.5000 0.7362
0.5000 0.5000 0.2070
```

(3)
Re2AgRh | GGA-PBE | relaxed

Calculated values
- Distance to the lowest polymorph of the same formula: 0.343 eV per atom
- DOS(E_F): 3.91 states/eV per cell
- Formation energy from the elements: 0.51 eV/atom
- Space group: No. 123
- Volume: 15.2 A^3/atom
- Energy: -8.27 eV/atom

The structure in POSCAR format:
```
Re2AgRh
1.0
3.8257 0.0000 0.0000
0.0000 3.8257 0.0000
0.0000 0.0000 4.1458
Re Ag Rh
2 1 1
Direct
0.0000 0.5000 0.0000
0.5000 0.0000 0.0000
0.0000 0.0000 0.5000
0.5000 0.5000 0.5000
```

(4)
Re2AgRh | GGA-PBE | relaxed

Calculated values
- Distance to the lowest polymorph of the same formula: 0.367 eV per atom
- DOS(E_F): 2.26 states/eV per cell
- Formation energy from the elements: 0.53 eV/atom
- Space group: No. 44
- Volume: 16.1 A^3/atom
- Energy: -8.24 eV/atom

The structure in POSCAR format:
```
Re2AgRh
1.0
-1.4986 2.3350 4.5949
1.4986 -2.3350 4.5949
1.4986 2.3350 -4.5949
Re Ag Rh
2 1 1
Direct
0.0000 0.0000 0.0000
0.7928 0.2928 0.5000
0.2769 0.7769 0.5000
0.5548 0.5548 0.0000
```